This record from the Alexandria database describes a relaxed Na2CrTc crystal. The functional is PBE-GGA.

Output
**ρ**: 4.64 g/cm³
**Density of states at the Fermi level**: 2.1650 states/eV/atom
**Magnetization**: 0.0 μB per formula unit
**Calculated formation energy**: 1.93 eV/atom
**Electronic total energy**: -3.730 eV/atom

Structure (CIF):
```
data_Na2CrTc
_cell_length_a 6.547
_cell_length_b 6.547
_cell_length_c 6.547
_cell_angle_alpha 90.00
_cell_angle_beta 90.00
_cell_angle_gamma 90.00
_space_group_name_H-M_alt 'F m -3 m'
_space_group_IT_number 225
_space_group_name_Hall '-F 4 2 3'
loop_
_atom_site_label
_atom_site_fract_x
_atom_site_fract_y
_atom_site_fract_z
Na1 0.250 0.250 0.250
Cr1 0.000 0.000 0.000
Tc1 0.000 0.000 0.500
```